12
Lattice="-2.763 -1.251 2.955 1.288 -7.123 -1.810 6.972 2.352 7.516" Properties=species:S:1:pos:R:3 comment="CaHfZnSb3 PBE relaxed" e_form_raw_mev_per_atom=-470 volume_a3_per_atom=26.6 m_tot_mub_per_cell=0.00 pbc="T T T"
Ca 1.781 -1.356 2.609
Ca 3.716 -4.666 6.051
Hf 4.149 -1.253 7.901
Hf 1.348 -4.768 0.759
Zn 1.835 -6.449 3.537
Zn 3.662 0.427 5.123
Sb 3.376 -4.320 2.846
Sb 6.193 -2.532 6.237
Sb 5.364 1.237 7.057
Sb 2.121 -1.702 5.815
Sb -0.696 -3.490 2.423
Sb 0.133 -7.259 1.603